ZnSeBr2 | PBE | optimized geometry

Properties
The value obtained for the raw formation energy is 0.024 eV/atom. The excess energy over the best structure of this formula in the dataset comes out at 462 meV per atom. Its total energy is -2.002 eV per atom. As for the crystal system: orthorhombic. The space group is Fmmm.

Lattice parameters (Å, degrees): 5.5306 5.2349 5.2135 63.92 58.23 57.85
With the nearest neighbours (Å) after each atom.
Sites, in units of the cell vectors:
Zn: 0.0000 0.0000 0.0000  4 Br 2.77
Se: 0.5000 0.5000 0.5000  4 Br 2.77
Br: 0.0000 0.5000 0.5000  2 Se 2.77, 2 Zn 2.77
Br: 0.5000 0.0000 0.0000  2 Se 2.77, 2 Zn 2.77

TaTlP2Pt | PBE | optimized geometry

Properties
The value obtained for the energy of formation from the pure elements is 0.894 eV/atom. Its total energy is -5.322 eV per atom. As for the crystal system: tetragonal. The space group is P4/mmm.

Lattice parameters (Å, degrees): 4.6120 4.6120 5.2544 90.00 90.00 90.00
With the nearest neighbours (Å) after each atom.
Sites, in units of the cell vectors:
Ta: 0.0000 0.0000 0.0000  2 Pt 2.63
Tl: 0.5000 0.5000 0.0000  4 Ta 3.26, 8 P 3.50
P: 0.0000 0.5000 0.5000  2 Pt 2.31
P: 0.5000 0.0000 0.5000  2 Pt 2.31
Pt: 0.0000 0.0000 0.5000  4 P 2.31

NbCOF2 | PBE | optimized geometry

Properties
The value obtained for the raw formation energy is 0.238 eV/atom. The excess energy over the best structure of this formula in the dataset comes out at 826 meV per atom. Its total energy is -5.361 eV per atom. As for the crystal system: tetragonal. The space group is P4/mmm.

Lattice parameters (Å, degrees): 4.5939 4.5939 2.7345 90.00 90.00 90.00
With the nearest neighbours (Å) after each atom.
Sites, in units of the cell vectors:
Nb: 0.0000 0.0000 0.0000  8 F 2.67, 2 Nb 2.73
C: 0.5000 0.5000 0.5000  2 O 1.37
O: 0.5000 0.5000 0.0000  2 C 1.37
F: 0.0000 0.5000 0.5000  2 C 2.30
F: 0.5000 0.0000 0.5000  2 C 2.30

K2FeSbP | PBE | optimized geometry

Properties
The value obtained for the raw formation energy is 0.803 eV/atom. Its total energy is -3.235 eV per atom. As for the crystal system: tetragonal. The space group is P4/mmm.

Lattice parameters (Å, degrees): 6.7707 6.7707 5.0674 90.00 90.00 90.00
With the nearest neighbours (Å) after each atom.
Sites, in units of the cell vectors:
K: 0.0000 0.5000 0.0000  2 Sb 3.39
K: 0.5000 0.0000 0.0000  2 Sb 3.39
Fe: 0.0000 0.0000 0.5000  8 K 4.23
Sb: 0.5000 0.5000 0.0000  2 P 2.53
P: 0.5000 0.5000 0.5000  2 Sb 2.53

ReAgS2Cl | PBE | optimized geometry

Properties
The value obtained for the raw formation energy is 0.225 eV/atom. The excess energy over the best structure of this formula in the dataset comes out at 0 meV per atom. Its total energy is -4.855 eV per atom. As for the crystal system: tetragonal. The space group is P4/mmm.

Lattice parameters (Å, degrees): 4.5442 4.5442 5.2196 90.00 90.00 90.00
With the nearest neighbours (Å) after each atom.
Sites, in units of the cell vectors:
Re: 0.0000 0.0000 0.0000  4 S 2.27
Ag: 0.5000 0.5000 0.5000  4 Cl 3.21, 8 S 3.46
S: 0.0000 0.5000 0.0000  2 Re 2.27
S: 0.5000 0.0000 0.0000  2 Re 2.27
Cl: 0.0000 0.0000 0.5000  2 Re 2.61

CeMg2SnGe | PBE | optimized geometry

Properties
The value obtained for the energy of formation from the pure elements is -0.288 eV/atom. Its total energy is -3.837 eV per atom. As for the crystal system: orthorhombic. The space group is Cmcm.

Lattice parameters (Å, degrees): 8.0615 8.0615 8.0612 90.00 90.00 150.22
With the nearest neighbours (Å) after each atom.
Sites, in units of the cell vectors:
Ce: 0.0921 0.9079 0.7500  2 Ge 3.17, 4 Sn 3.23
Ce: 0.9079 0.0921 0.2500  2 Ge 3.17, 4 Sn 3.23
Mg: 0.3195 0.6805 0.5679  3 Ge 2.76-2.78, 1 Sn 2.87, 1 Mg 2.94
Mg: 0.3195 0.6805 0.9321  3 Ge 2.76-2.78, 1 Sn 2.87, 1 Mg 2.94
Mg: 0.6805 0.3195 0.0679  3 Ge 2.76-2.78, 1 Sn 2.87, 1 Mg 2.94
Mg: 0.6805 0.3195 0.4321  3 Ge 2.76-2.78, 1 Sn 2.87, 1 Mg 2.94
Sn: 0.5000 0.5000 0.0000  2 Mg 2.87
Sn: 0.5000 0.5000 0.5000  2 Mg 2.87
Ge: 0.2540 0.7460 0.2500  6 Mg 2.76-2.78
Ge: 0.7460 0.2540 0.7500  6 Mg 2.76-2.78

CeH6Au2 | PBE | optimized geometry

Properties
Its total energy is -3.672 eV per atom. As for the crystal system: orthorhombic. The space group is Fdd2.

Lattice parameters (Å, degrees): 6.6081 6.4354 7.9777 53.28 51.32 75.40
With the nearest neighbours (Å) after each atom.
Sites, in units of the cell vectors:
Ce: 0.0000 0.0000 0.0000  8 H 2.28-2.40
Ce: 0.2500 0.2500 0.2500  8 H 2.28-2.40
H: 0.0003 0.2035 0.6401  1 Au 1.75, 1 H 1.79
H: 0.0566 0.5995 0.2937  1 H 1.79, 1 Au 1.88
H: 0.0938 0.6099 0.0465  1 Au 1.75, 1 H 1.79
H: 0.1416 0.5222 0.6445  1 Au 1.65
H: 0.1998 0.9563 0.6505  1 H 1.79, 1 Au 1.88
H: 0.2035 0.0003 0.1562  1 Au 1.75, 1 H 1.79
H: 0.5222 0.1416 0.6917  1 Au 1.65
H: 0.5583 0.6055 0.7278  1 Au 1.65
H: 0.5995 0.0566 0.0502  1 H 1.79, 1 Au 1.88
H: 0.6055 0.5583 0.1084  1 Au 1.65
H: 0.6099 0.0938 0.2497  1 Au 1.75, 1 H 1.79
H: 0.9563 0.1998 0.1934  1 H 1.79, 1 Au 1.88
Au: 0.1205 0.5916 0.8232  2 H 1.65-1.75
Au: 0.4268 0.7852 0.1295  2 H 1.65-1.75
Au: 0.5916 0.1205 0.4648  2 H 1.65-1.75
Au: 0.7852 0.4268 0.6584  2 H 1.65-1.75

Pm3HPt2 | PBE | optimized geometry

Properties
Its total energy is -5.767 eV per atom. As for the crystal system: monoclinic. The space group is C2/c.

Lattice parameters (Å, degrees): 7.1619 7.1619 8.1998 110.37 110.37 48.18
With the nearest neighbours (Å) after each atom.
Sites, in units of the cell vectors:
Pm: 0.0388 0.9612 0.7500  1 H 2.38
Pm: 0.3267 0.3440 0.9576  1 H 2.57, 1 Pt 2.86
Pm: 0.3440 0.3267 0.4576  1 H 2.57, 1 Pt 2.86
Pm: 0.6560 0.6733 0.5424  1 H 2.57, 1 Pt 2.86
Pm: 0.6733 0.6560 0.0424  1 H 2.57, 1 Pt 2.86
Pm: 0.9612 0.0388 0.2500  1 H 2.38
H: 0.4461 0.5539 0.7500  3 Pm 2.38-2.57
H: 0.5539 0.4461 0.2500  3 Pm 2.38-2.57
Pt: 0.1592 0.1764 0.6015  6 Pm 2.86-2.96
Pt: 0.1764 0.1592 0.1015  6 Pm 2.86-2.96
Pt: 0.8236 0.8408 0.8985  6 Pm 2.86-2.96
Pt: 0.8408 0.8236 0.3985  6 Pm 2.86-2.96

CaZrAg | PBE | optimized geometry

Properties
The value obtained for the energy of formation from the pure elements is 0.242 eV/atom. The excess energy over the best structure of this formula in the dataset comes out at 151 meV per atom. Its total energy is -4.225 eV per atom. As for the crystal system: trigonal. The space group is P3m1.

Lattice parameters (Å, degrees): 3.3273 3.3273 7.7580 90.00 90.00 120.00
With the nearest neighbours (Å) after each atom.
Sites, in units of the cell vectors:
Ca: 0.0000 0.0000 0.0000  3 Ag 3.20, 6 Ca 3.33, 3 Zr 3.47
Zr: 0.3333 0.6667 0.3724  3 Ag 3.01, 6 Zr 3.33
Ag: 0.6667 0.3333 0.6704  3 Zr 3.01, 3 Ca 3.20, 6 Ag 3.33

Li2InW | PBE | optimized geometry

Properties
The value obtained for the energy of formation from the pure elements is 0.394 eV/atom. Its total energy is -4.485 eV per atom. As for the crystal system: monoclinic. The space group is Pm.

Lattice parameters (Å, degrees): 2.7499 4.8825 5.2317 90.00 90.12 90.00
With the nearest neighbours (Å) after each atom.
Sites, in units of the cell vectors:
Li: 0.0000 0.0000 0.0000  6 Li 2.75-2.93, 3 In 2.83-3.08, 2 W 3.02
Li: 0.4955 0.5000 0.8408  6 Li 2.75-2.93, 4 W 2.94-2.97
In: 0.4972 0.0000 0.4731  2 In 2.75, 3 Li 2.83-3.08, 4 W 2.89
W: 0.9948 0.5000 0.3384  2 W 2.75, 4 In 2.89, 6 Li 2.94-3.02

TbScGeIr | PBE | optimized geometry

Properties
The value obtained for the energy of formation from the pure elements is -0.688 eV/atom. Its total energy is -6.798 eV per atom. As for the crystal system: cubic. The space group is F-43m.

Lattice parameters (Å, degrees): 4.8332 4.8332 4.8332 60.00 60.00 60.00
With the nearest neighbours (Å) after each atom.
Sites, in units of the cell vectors:
Tb: 0.0000 0.0000 0.0000  4 Ge 2.96, 4 Ir 2.96
Sc: 0.5000 0.5000 0.5000  4 Ge 2.96, 4 Ir 2.96
Ge: 0.7500 0.7500 0.7500  4 Sc 2.96, 4 Tb 2.96
Ir: 0.2500 0.2500 0.2500  4 Sc 2.96, 4 Tb 2.96

Pm2PrSmTm | PBE | optimized geometry

Properties
The value obtained for the energy of formation from the pure elements is 0.276 eV/atom. Its total energy is -4.418 eV per atom. As for the crystal system: monoclinic. The space group is P2/c.

Lattice parameters (Å, degrees): 8.4563 6.5684 6.2845 90.00 94.05 90.00
With the nearest neighbours (Å) after each atom.
Sites, in units of the cell vectors:
Pm: 0.1880 0.1913 0.2725  1 Sm 3.14, 1 Pm 3.17, 1 Tm 3.49
Pm: 0.1880 0.8087 0.7725  1 Sm 3.14, 1 Pm 3.17, 1 Tm 3.49
Pm: 0.8120 0.1913 0.2275  1 Sm 3.14, 1 Pm 3.17, 1 Tm 3.49
Pm: 0.8120 0.8087 0.7275  1 Sm 3.14, 1 Pm 3.17, 1 Tm 3.49
Pr: 0.5000 0.5000 0.0000  2 Pr 3.14, 2 Sm 3.26
Pr: 0.5000 0.5000 0.5000  2 Pr 3.14, 2 Sm 3.26
Sm: 0.5000 0.0643 0.7500  2 Pm 3.14, 2 Sm 3.25, 2 Pr 3.26
Sm: 0.5000 0.9357 0.2500  2 Pm 3.14, 2 Sm 3.25, 2 Pr 3.26
Tm: 0.0000 0.3350 0.7500  8 Pm 3.49-3.80, 2 Tm 3.82
Tm: 0.0000 0.6650 0.2500  8 Pm 3.49-3.80, 2 Tm 3.82

| no. | magnetization (Bohr magnetons per cell) |
| --- | --- |
| 1 | 0.00 |
| 2 | 0.76 |
| 3 | 1.88 |
| 4 | 3.22 |
| 5 | 0.00 |
| 6 | 1.45 |
| 7 | 1.00 |
| 8 | 0.00 |
| 9 | 0.00 |
| 10 | 0.00 |
| 11 | 0.00 |
| 12 | 0.00 |